# AgW2Cl (PBE, relaxed)
data_AgW2Cl
_space_group_name_H-M_alt 'I 4/m m m'
_space_group_IT_number 139
_space_group_name_Hall '-I 4 2'
_cell_length_a 3.8006
_cell_length_b 3.8006
_cell_length_c 9.8310
_cell_angle_alpha 90.00
_cell_angle_beta 90.00
_cell_angle_gamma 90.00
loop_
_atom_site_label
_atom_site_fract_x
_atom_site_fract_y
_atom_site_fract_z
_atom_site_occupancy
Ag1 0.0000 0.0000 0.0000 1
W1 0.0000 0.5000 0.2500 1
Cl1 0.0000 0.0000 0.5000 1
# * offset from the most stable computed form: 1080 meV/atom
# * calculated volume: 142 Å³ per cell
# * energy relative to the elements, uncorrected: 1.3323 eV per atom



# AgWCl6 (PBE, relaxed)
data_AgWCl6
_space_group_name_H-M_alt 'R -3'
_space_group_IT_number 148
_space_group_name_Hall '-R 3'
_cell_length_a 6.3759
_cell_length_b 6.3759
_cell_length_c 17.3858
_cell_angle_alpha 90.00
_cell_angle_beta 90.00
_cell_angle_gamma 120.00
loop_
_atom_site_label
_atom_site_fract_x
_atom_site_fract_y
_atom_site_fract_z
_atom_site_occupancy
Ag1 0.0000 0.0000 0.0000 1
W1 0.0000 0.0000 0.5000 1
Cl1 0.0124 0.3075 0.4224 1
# * calculated volume: 612 Å³ per cell
# * energy relative to the elements, uncorrected: -0.7180 eV per atom



# Ag2WCl8 (PBE, relaxed)
data_Ag2WCl8
_space_group_name_H-M_alt 'P -1'
_space_group_IT_number 2
_cell_length_a 5.5099
_cell_length_b 7.4647
_cell_length_c 7.4739
_cell_angle_alpha 80.51
_cell_angle_beta 87.32
_cell_angle_gamma 87.43
loop_
_space_group_symop_operation_xyz
'x,y,z'
'-x,-y,-z'
loop_
_atom_site_label
_atom_site_fract_x
_atom_site_fract_y
_atom_site_fract_z
_atom_site_occupancy
Ag1 0.2109 0.1115 0.1128 1
W1 0.0000 0.5000 0.5000 1
Cl1 0.2229 0.4178 0.7566 1
Cl2 0.2236 0.7571 0.4180 1
Cl3 0.2701 0.8906 0.8901 1
Cl4 0.2756 0.3360 0.3359 1
# * calculated volume: 303 Å³ per cell
# * energy relative to the elements, uncorrected: -0.6371 eV per atom



# AgWCl2 (PBE, relaxed)
data_AgWCl2
_space_group_name_H-M_alt 'C m m 2'
_space_group_IT_number 35
_cell_length_a 3.0373
_cell_length_b 5.2642
_cell_length_c 9.7653
_cell_angle_alpha 90.00
_cell_angle_beta 90.00
_cell_angle_gamma 90.00
loop_
_space_group_symop_operation_xyz
'x,y,z'
'-x,-y,z'
'-x,y,z'
'x,-y,z'
'x+1/2,y+1/2,z'
'-x+1/2,-y+1/2,z'
'-x+1/2,y+1/2,z'
'x+1/2,-y+1/2,z'
loop_
_atom_site_label
_atom_site_fract_x
_atom_site_fract_y
_atom_site_fract_z
_atom_site_occupancy
Ag1 0.0000 0.0000 0.0000 1
W1 0.0000 0.5000 0.7564 1
Cl1 0.0000 0.0000 0.5599 1
Cl2 0.0000 0.5000 0.2146 1
# * offset from the most stable computed form: 213 meV/atom
# * calculated volume: 156 Å³ per cell
# * energy relative to the elements, uncorrected: 0.2605 eV per atom



# AgWCl2 (PBE, relaxed)
data_AgWCl2
_space_group_name_H-M_alt 'P 4/m m m'
_space_group_IT_number 123
_space_group_name_Hall '-P 4 2'
_cell_length_a 4.8585
_cell_length_b 4.8585
_cell_length_c 3.0435
_cell_angle_alpha 90.00
_cell_angle_beta 90.00
_cell_angle_gamma 90.00
loop_
_atom_site_label
_atom_site_fract_x
_atom_site_fract_y
_atom_site_fract_z
_atom_site_occupancy
Ag1 0.0000 0.0000 0.0000 1
W1 0.5000 0.5000 0.0000 1
Cl1 0.0000 0.5000 0.5000 1
# * offset from the most stable computed form: 858 meV/atom
# * calculated volume: 72 Å³ per cell
# * energy relative to the elements, uncorrected: 0.9054 eV per atom



# YAgCl2 (PBE, relaxed)
data_YAgCl2
_space_group_name_H-M_alt 'P 1 2/m 1'
_space_group_IT_number 10
_cell_length_a 6.0263
_cell_length_b 3.8505
_cell_length_c 6.9383
_cell_angle_alpha 90.00
_cell_angle_beta 115.65
_cell_angle_gamma 90.00
loop_
_space_group_symop_operation_xyz
'x,y,z'
'-x,-y,-z'
'-x,y,-z'
'x,-y,z'
loop_
_atom_site_label
_atom_site_fract_x
_atom_site_fract_y
_atom_site_fract_z
_atom_site_occupancy
Y1 0.0000 0.0000 0.0000 1
Ag1 0.5000 0.0000 0.0000 1
Cl1 0.1443 0.5000 0.2893 1
# * offset from the most stable computed form: 81 meV/atom
# * calculated volume: 145 Å³ per cell
# * energy relative to the elements, uncorrected: -1.1644 eV per atom



# YAgCl4 (PBE, relaxed)
data_YAgCl4
_space_group_name_H-M_alt 'P 1 2/m 1'
_space_group_IT_number 10
_cell_length_a 6.5347
_cell_length_b 4.0077
_cell_length_c 7.2501
_cell_angle_alpha 90.00
_cell_angle_beta 98.48
_cell_angle_gamma 90.00
loop_
_space_group_symop_operation_xyz
'x,y,z'
'-x,-y,-z'
'-x,y,-z'
'x,-y,z'
loop_
_atom_site_label
_atom_site_fract_x
_atom_site_fract_y
_atom_site_fract_z
_atom_site_occupancy
Y1 0.0000 0.0000 0.0000 1
Ag1 0.0000 0.5000 0.5000 1
Cl1 0.1949 0.0000 0.7063 1
Cl2 0.2432 0.5000 0.1508 1
# * offset from the most stable computed form: 0 meV/atom
# * calculated volume: 188 Å³ per cell
# * energy relative to the elements, uncorrected: -1.6459 eV per atom



# Y3AgCl (PBE, relaxed)
data_Y3AgCl
_space_group_name_H-M_alt 'P m -3 m'
_space_group_IT_number 221
_space_group_name_Hall '-P 4 2 3'
_cell_length_a 5.1262
_cell_length_b 5.1262
_cell_length_c 5.1262
_cell_angle_alpha 90.00
_cell_angle_beta 90.00
_cell_angle_gamma 90.00
loop_
_atom_site_label
_atom_site_fract_x
_atom_site_fract_y
_atom_site_fract_z
_atom_site_occupancy
Y1 0.0000 0.0000 0.5000 1
Ag1 0.5000 0.5000 0.5000 1
Cl1 0.0000 0.0000 0.0000 1
# * offset from the most stable computed form: 0 meV/atom
# * calculated volume: 135 Å³ per cell
# * energy relative to the elements, uncorrected: -0.3493 eV per atom